This record from Alexandria describes a relaxed structure of TmLu. The functional is PBE-GGA.

a b c (Å): 3.916 3.916 3.916
angles (deg): 90.00 90.00 90.00
Positions (direct):
Tm1 0.000 0.000 0.000
Lu1 0.500 0.500 0.500

- formation enthalpy at 0 K (eV per atom) = 0.13

This record from Alexandria describes a relaxed structure of Tm2Lu. The functional is PBE-GGA.

a b c (Å): 7.794 7.794 7.794
angles (deg): 154.31 154.31 36.65
Positions (direct):
Tm1 0.166 0.166 0.000
Tm2 0.834 0.834 0.000
Lu1 0.500 0.500 0.000

- formation enthalpy at 0 K (eV per atom) = 0.03

This record from Alexandria describes a relaxed structure of Tm2LuV. The functional is PBE-GGA.

a b c (Å): 11.396 11.396 11.396
angles (deg): 16.73 16.73 16.73
Positions (direct):
Tm1 0.083 0.083 0.083
Tm2 0.917 0.917 0.917
Lu1 0.500 0.500 0.500
V1 0.000 0.000 0.000

- formation enthalpy at 0 K (eV per atom) = 0.59

This record from Alexandria describes a relaxed structure of YTmLu. The functional is PBE-GGA.

a b c (Å): 7.867 7.867 7.867
angles (deg): 154.28 154.28 36.69
Positions (direct):
Y1 0.000 0.000 0.000
Tm1 0.331 0.331 0.000
Lu1 0.668 0.668 0.000

- formation enthalpy at 0 K (eV per atom) = 0.03

This record from Alexandria describes a relaxed structure of YTmLu. The functional is PBE-GGA.

a b c (Å): 5.530 5.530 3.469
angles (deg): 90.00 90.00 120.00
Positions (direct):
Y1 0.000 0.000 0.000
Tm1 0.667 0.333 0.500
Lu1 0.333 0.667 0.500

- formation enthalpy at 0 K (eV per atom) = 0.08

This record from Alexandria describes a relaxed structure of TmLuZn4. The functional is PBE-GGA.

a b c (Å): 5.398 5.398 5.398
angles (deg): 60.00 60.00 60.00
Positions (direct):
Tm1 0.000 0.000 0.000
Lu1 0.750 0.750 0.750
Zn1 0.375 0.375 0.375
Zn2 0.375 0.375 0.875
Zn3 0.375 0.875 0.375
Zn4 0.875 0.375 0.375

- formation enthalpy at 0 K (eV per atom) = -0.32

This record from Alexandria describes a relaxed structure of TmLu2Zn. The functional is PBE-GGA.

a b c (Å): 10.312 10.312 10.312
angles (deg): 19.43 19.43 19.43
Positions (direct):
Tm1 0.000 0.000 0.000
Lu1 0.240 0.240 0.240
Lu2 0.760 0.760 0.760
Zn1 0.500 0.500 0.500

- formation enthalpy at 0 K (eV per atom) = -0.06

This record from Alexandria describes a relaxed structure of TmLu2Zn. The functional is PBE-GGA.

a b c (Å): 4.659 4.659 4.658
angles (deg): 90.00 90.00 90.00
Positions (direct):
Tm1 0.000 0.000 0.000
Lu1 0.000 0.500 0.500
Lu2 0.500 0.000 0.500
Zn1 0.500 0.500 0.000

- formation enthalpy at 0 K (eV per atom) = -0.03

This record from Alexandria describes a relaxed structure of TmLuZn2. The functional is PBE-GGA.

a b c (Å): 4.945 4.945 3.528
angles (deg): 90.00 90.00 90.00
Positions (direct):
Tm1 0.000 0.000 0.000
Lu1 0.500 0.500 0.000
Zn1 0.000 0.500 0.500
Zn2 0.500 0.000 0.500

- formation enthalpy at 0 K (eV per atom) = -0.35

This record from Alexandria describes a relaxed structure of TmLuZn2. The functional is PBE-GGA.

a b c (Å): 4.960 4.960 4.960
angles (deg): 60.00 60.00 60.00
Positions (direct):
Tm1 0.000 0.000 0.000
Lu1 0.500 0.500 0.500
Zn1 0.250 0.250 0.250
Zn2 0.750 0.750 0.750

- formation enthalpy at 0 K (eV per atom) = -0.36

This record from Alexandria describes a relaxed structure of TmLu2Zn. The functional is PBE-GGA.

a b c (Å): 3.486 3.486 8.463
angles (deg): 90.00 90.00 90.00
Positions (direct):
Tm1 0.000 0.000 0.000
Lu1 0.500 0.500 0.294
Lu2 0.500 0.500 0.706
Zn1 0.000 0.000 0.500

- formation enthalpy at 0 K (eV per atom) = -0.16

This record from Alexandria describes a relaxed structure of TmLuZr2. The functional is PBE-GGA.

a b c (Å): 3.910 3.910 6.740
angles (deg): 90.00 90.00 90.00
Positions (direct):
Tm1 0.000 0.000 0.000
Lu1 0.000 0.000 0.500
Zr1 0.500 0.500 0.260
Zr2 0.500 0.500 0.740

- formation enthalpy at 0 K (eV per atom) = 0.20

This record from Alexandria describes a relaxed structure of TmLuZr. The functional is PBE-GGA.

a b c (Å): 3.369 3.369 8.290
angles (deg): 90.00 90.00 120.00
Positions (direct):
Tm1 0.000 0.000 0.000
Lu1 0.333 0.667 0.636
Zr1 0.667 0.333 0.319

- formation enthalpy at 0 K (eV per atom) = 0.07

This record from Alexandria describes a relaxed structure of TmLuZr2. The functional is PBE-GGA.

a b c (Å): 11.679 11.679 11.679
angles (deg): 15.99 15.99 15.99
Positions (direct):
Tm1 0.000 0.000 0.000
Lu1 0.500 0.500 0.500
Zr1 0.411 0.411 0.411
Zr2 0.589 0.589 0.589

- formation enthalpy at 0 K (eV per atom) = 0.28

This record from Alexandria describes a relaxed structure of TmLuZr2. The functional is PBE-GGA.

a b c (Å): 4.668 4.668 4.735
angles (deg): 90.00 90.00 90.00
Positions (direct):
Tm1 0.000 0.000 0.000
Lu1 0.500 0.500 0.000
Zr1 0.000 0.500 0.500
Zr2 0.500 0.000 0.500

- formation enthalpy at 0 K (eV per atom) = 0.08

Total moment
In order: 0.00; 0.00; 3.05; 0.00; 0.00; 0.00; 0.00; 0.00; 0.00; 0.00; 0.00; 0.00; 0.00; 0.00; 0.00
Unit: μB per formula unit